(1)
Computed, not measured: Rb2AgAuBr6 after structural relaxation at the PBE level of DFT.

```
Rb2AgAuBr6
1.0
7.6631 0.0000 0.0000
-0.0014 7.6661 0.0000
-0.0002 -0.0034 10.8390
Rb Ag Au Br
4 2 2 12
direct
0.0000 0.0000 0.0000
0.9998 0.0004 0.4995
0.4999 0.4999 0.9997
0.4998 0.4999 0.4997
0.9998 0.4998 0.7497
0.5000 0.0003 0.2497
0.0000 0.5004 0.2497
0.4998 0.9997 0.7497
0.0013 0.5006 0.0017
0.2446 0.2489 0.2502
0.2452 0.7587 0.7486
0.2515 0.7445 0.2507
0.2583 0.2543 0.7493
0.4985 0.9991 0.9977
0.5012 0.0004 0.5017
0.7411 0.7451 0.7500
0.7484 0.2562 0.2487
0.7545 0.2407 0.7508
0.7555 0.7519 0.2492
0.9984 0.5000 0.4977
```

Results
The electronic total energy comes out at -2.64 eV per atom.

---

(2)
Computed, not measured: Rb2AgAuBr6 after structural relaxation at the PBE level of DFT.

```
Rb2AgAuBr6
1.0
-3.8147 3.8147 5.8142
3.8147 -3.8147 5.8142
3.8147 3.8147 -5.8142
Rb Ag Au Br
2 1 1 6
direct
0.2500 0.7500 0.5000
0.7500 0.2500 0.5000
0.0000 0.0000 0.0000
0.5000 0.5000 0.0000
0.2193 0.2193 0.0000
0.2370 0.7000 0.9370
0.3000 0.2370 0.5370
0.7000 0.7630 0.4630
0.7630 0.3000 0.0630
0.7807 0.7807 0.0000
```

Results
The electronic total energy comes out at -2.67 eV per atom.

---

(3)
Computed, not measured: Rb2AgAuBr6 after structural relaxation at the PBE level of DFT.

```
Rb2AgAuBr6
1.0
0.0000 5.4173 5.4173
5.4173 0.0000 5.4173
5.4173 5.4173 0.0000
Rb Ag Au Br
2 1 1 6
direct
0.2500 0.2500 0.2500
0.7500 0.7500 0.7500
0.0000 0.0000 0.0000
0.5000 0.5000 0.5000
0.2519 0.2519 0.7481
0.2519 0.7481 0.2519
0.2519 0.7481 0.7481
0.7481 0.2519 0.2519
0.7481 0.2519 0.7481
0.7481 0.7481 0.2519
```

Results
The electronic total energy comes out at -2.64 eV per atom.

---

(4)
Computed, not measured: Rb2AgAuBr6 after structural relaxation at the PBE level of DFT.

```
Rb2AgAuBr6
1.0
7.7542 0.0000 0.0000
0.0000 8.0896 0.0000
-7.5730 0.0000 10.8233
Rb Ag Au Br
4 2 2 12
direct
0.2424 0.0411 0.2518
0.2424 0.4589 0.7518
0.7576 0.5411 0.2482
0.7576 0.9589 0.7482
0.0000 0.0000 0.5000
0.0000 0.5000 0.0000
0.5000 0.0000 0.0000
0.5000 0.5000 0.5000
0.2233 0.1926 0.9772
0.2233 0.3074 0.4772
0.2350 0.6883 0.9792
0.2350 0.8117 0.4792
0.3067 0.5154 0.2674
0.3067 0.9846 0.7674
0.6933 0.0154 0.2326
0.6933 0.4846 0.7326
0.7650 0.1883 0.5208
0.7650 0.3117 0.0208
0.7767 0.6926 0.5228
0.7767 0.8074 0.0228
```

Results
The electronic total energy comes out at -2.67 eV per atom.

---

(5)
Computed, not measured: Rb2AgAuBr6 after structural relaxation at the PBE level of DFT.

```
Rb2AgAuBr6
1.0
6.6365 -3.8328 0.0000
6.6365 3.8328 0.0000
-4.4231 0.0000 6.2587
Rb Ag Au Br
2 1 1 6
direct
0.2502 0.2502 0.2500
0.7498 0.7498 0.7500
0.0000 0.0000 0.5000
0.5000 0.5000 0.0000
0.2523 0.2523 0.7533
0.2515 0.7472 0.7517
0.2528 0.7485 0.2483
0.7472 0.2515 0.7517
0.7485 0.2528 0.2483
0.7477 0.7477 0.2467
```

Results
The electronic total energy comes out at -2.64 eV per atom.

---

(6)
Computed, not measured: AgAuC4 after structural relaxation at the PBE level of DFT.

```
AgAuC4
1.0
1.9304 1.1145 5.2921
-1.9304 1.1145 5.2921
0.0000 -2.2290 5.2921
Ag Au C
1 1 4
direct
0.0000 0.0000 0.0000
0.5000 0.5000 0.5000
0.1398 0.1398 0.1398
0.3593 0.3593 0.3593
0.6407 0.6407 0.6407
0.8602 0.8602 0.8602
```

Results
The electronic total energy comes out at -4.33 eV per atom.

---

(7)
Computed, not measured: CdAg2Au2 after structural relaxation at the PBE level of DFT.

```
CdAg2Au2
1.0
-1.9826 1.9826 6.5412
1.9826 -1.9826 6.5412
1.9826 1.9826 -6.5412
Cd Ag Au
1 2 2
direct
0.0000 0.0000 0.0000
0.2500 0.7500 0.5000
0.7500 0.2500 0.5000
0.3999 0.3999 0.0000
0.6001 0.6001 0.0000
```

Results
Its energy above the lowest structure with this stoichiometry is 0.000 eV/atom.

---

(8)
Computed, not measured: CdAg2Au2 after structural relaxation at the PBE level of DFT.

```
CdAg2Au2
1.0
-1.9684 1.9684 6.5877
1.9684 -1.9684 6.5877
1.9684 1.9684 -6.5877
Cd Ag Au
1 2 2
direct
0.0000 0.0000 0.0000
0.4016 0.4016 0.0000
0.5984 0.5984 0.0000
0.2500 0.7500 0.5000
0.7500 0.2500 0.5000
```

Results
Its energy above the lowest structure with this stoichiometry is 0.041 eV/atom.

---

(9)
Computed, not measured: CdAgAu after structural relaxation at the PBE level of DFT.

```
CdAgAu
1.0
0.0000 3.2385 3.2385
3.2385 0.0000 3.2385
3.2385 3.2385 0.0000
Cd Ag Au
1 1 1
direct
0.0000 0.0000 0.0000
0.5000 0.5000 0.5000
0.7500 0.7500 0.7500
```

Results
Its energy above the lowest structure with this stoichiometry is 0.000 eV/atom.

---

(10)
Computed, not measured: Dy2Cd2AgAu3 after structural relaxation at the PBE level of DFT.

```
Dy2Cd2AgAu3
1.0
4.9307 0.0000 0.0000
0.0000 4.9315 0.0000
-0.0034 0.0000 6.9580
Dy Cd Ag Au
2 2 1 3
direct
0.0000 0.0000 0.0000
0.4927 0.5000 0.4872
0.4936 0.5000 0.9902
0.9985 0.0000 0.4970
0.9913 0.5000 0.7436
0.5005 0.0000 0.7436
0.5007 0.0000 0.2436
0.9917 0.5000 0.2436
```

Results
The electronic total energy comes out at -3.54 eV per atom.

---

(11)
Computed, not measured: Dy3Cd3AgAu2 after structural relaxation at the PBE level of DFT.

```
Dy3Cd3AgAu2
1.0
3.8382 0.0000 0.0000
0.0000 6.8152 3.9284
0.0000 -6.8152 3.9284
Dy Cd Ag Au
3 3 1 2
direct
0.0000 0.0000 0.0000
0.0000 0.4079 0.8161
0.0000 0.8161 0.4079
0.5000 0.1457 0.4084
0.5000 0.4084 0.1457
0.5000 0.6698 0.6698
0.0000 0.4083 0.4083
0.5000 0.0749 0.7403
0.5000 0.7403 0.0749
```

Results
The electronic total energy comes out at -3.45 eV per atom.

---

(12)
Computed, not measured: Dy3Cd3AgAu2 after structural relaxation at the PBE level of DFT.

```
Dy3Cd3AgAu2
1.0
7.8436 0.0000 0.0000
-3.9218 6.7928 0.0000
0.0000 0.0000 3.8634
Dy Cd Ag Au
3 3 1 2
direct
0.0000 0.5910 0.0000
0.4090 0.4090 0.0000
0.5910 0.0000 0.0000
0.0000 0.2614 0.5000
0.2614 0.0000 0.5000
0.7386 0.7386 0.5000
0.0000 0.0000 0.0000
0.3333 0.6667 0.5000
0.6667 0.3333 0.5000
```

Results
The electronic total energy comes out at -3.45 eV per atom.